(1)
! MgHgAs2Os | Alexandria | PBE | optimized geometry; values from VASP
! Fermi-level density of states   1.14 states/eV per atom
! Total magnetization   1.7 μB/f.u.
! Formation enthalpy at 0 K   1.560 eV per atom
! SG   P4/mmm, No. 123
! Total DFT energy (no corrections)   -2.925 eV per atom
&SYSTEM
  ibrav = 0, nat = 5, ntyp = 4
/
ATOMIC_SPECIES
As 74.92 As.upf
Os 190.23 Os.upf
Hg 200.59 Hg.upf
Mg 24.30 Mg.upf
CELL_PARAMETERS angstrom
5.092 0.000 0.000
0.000 5.146 0.000
0.000 0.000 5.092
ATOMIC_POSITIONS angstrom
As 2.546 0.000 0.000
Os 0.000 2.573 0.000
As 0.000 0.000 2.546
Hg 0.000 0.000 0.000
Mg 2.546 2.573 2.546

***

(2)
! MgHgAsSe2 | Alexandria | PBE | optimized geometry; values from VASP
! Fermi-level density of states   1.50 states/eV per atom
! Total magnetization   0.4 μB/f.u.
! Raw formation energy   0.35 eV/atom
! ΔE to the lowest computed polymorph   0 meV per atom
! SG   P4/mmm, No. 123
! Total DFT energy (no corrections)   -2.351 eV per atom
&SYSTEM
  ibrav = 0, nat = 5, ntyp = 4
/
ATOMIC_SPECIES
Se 78.96 Se.upf
Mg 24.30 Mg.upf
As 74.92 As.upf
Hg 200.59 Hg.upf
CELL_PARAMETERS angstrom
-1.848 4.625 0.712
-4.218 -1.315 -2.407
-2.097 -1.532 4.512
ATOMIC_POSITIONS angstrom
Se -0.924 2.313 0.356
Se -2.109 -0.657 -1.203
Mg 0.000 0.000 0.000
As -1.048 -0.766 2.256
Hg -4.081 0.889 1.409